KLaNi2 | PBE | optimized geometry

Values from the calculation:
- total moment (μB per formula unit) = 0.000
- calculated total energy (eV per atom) = -4.17
- symmetry = P4mm
- calculated formation energy (kJ/mol of atoms) = 22.2

Cell lengths 3.442, 3.442, 8.835 Å; angles 90.00, 90.00, 90.00 degrees
Sites, in units of the cell vectors:
1 K 0.000 0.000 0.000
2 La 0.500 0.500 0.443
3 Ni 0.000 0.000 0.646
4 Ni 0.500 0.500 0.715



TbPmGa2 | PBE | optimized geometry

Values from the calculation:
- total moment (μB per formula unit) = 0.000
- calculated total energy (eV per atom) = -4.44
- symmetry = P4/mmm
- calculated formation energy (kJ/mol of atoms) = -56.2

Cell lengths 3.631, 3.631, 7.236 Å; angles 90.00, 90.00, 90.00 degrees
Sites, in units of the cell vectors:
1 Tb 0.000 0.000 0.000
2 Pm 0.000 0.000 0.500
3 Ga 0.500 0.500 0.240
4 Ga 0.500 0.500 0.760